1.
Mn5W: relaxed, PBE.

The structure in extended XYZ format:
```
6
Lattice="1.348 4.654 -0.006 -1.348 4.654 -0.006 0.000 1.687 5.659" Properties=species:S:1:pos:R:3 pbc="T T T"
Mn 0.000 0.147 0.167
Mn 0.000 6.208 1.543
Mn 0.000 3.569 2.045
Mn 0.000 9.850 3.207
Mn 0.000 7.077 3.833
W 0.000 4.301 5.206
```

Distance to the lowest polymorph of the same formula (kJ/mol of atoms): 13.17
Spin magnetization (μB/cell): 0.69
SG: Cm
Energy (eV for the cell shown): -57.9



2.
Mn4W5: relaxed, PBE.

The structure in extended XYZ format:
```
18
Lattice="7.592 0.000 0.000 -3.796 6.575 0.000 0.000 0.000 5.058" Properties=species:S:1:pos:R:3 pbc="T T T"
Mn 0.000 0.000 0.000
Mn 0.000 0.000 2.529
Mn -1.466 2.540 1.265
Mn 2.330 4.035 1.265
Mn 2.933 0.000 1.265
Mn -2.330 4.035 3.794
Mn 1.466 2.540 3.794
Mn 4.660 0.000 3.794
W -2.705 4.685 1.265
W 1.091 1.890 1.265
W 5.410 0.000 1.265
W -1.091 1.890 3.794
W 2.705 4.685 3.794
W 2.183 0.000 3.794
W 3.796 2.192 0.000
W 0.000 4.383 2.529
W 0.000 4.383 0.000
W 3.796 2.192 2.529
```

Distance to the lowest polymorph of the same formula (kJ/mol of atoms): 11.90
Spin magnetization (μB/cell): 1.90
SG: P6_3/mcm
Energy (eV for the cell shown): -197.5



3.
MnW2: relaxed, PBE.

The structure in extended XYZ format:
```
6
Lattice="-1.390 1.390 11.630 1.390 -1.390 11.630 1.390 1.390 -11.630" Properties=species:S:1:pos:R:3 pbc="T T T"
Mn 0.000 1.390 5.815
Mn 0.000 0.000 0.000
W 0.000 0.000 13.325
W 0.000 0.000 9.936
W 1.390 0.000 7.509
W 1.390 0.000 4.121
```

Spin magnetization (μB/cell): 0.01
SG: I4_1/amd
Energy (eV for the cell shown): -67.2



4.
Mn3W2: relaxed, PBE.

The structure in extended XYZ format:
```
5
Lattice="-3.687 -0.471 -1.791 0.826 -1.919 3.558 -1.743 3.967 2.544" Properties=species:S:1:pos:R:3 pbc="T T T"
Mn 0.000 0.000 0.000
Mn -3.346 1.693 1.689
Mn -1.259 -0.116 2.622
W -2.503 -0.225 0.459
W -2.101 1.802 3.852
```

Distance to the lowest polymorph of the same formula (kJ/mol of atoms): 28.74
Spin magnetization (μB/cell): 2.41
SG: P-3m1
Energy (eV for the cell shown): -50.7



5.
Mn2W3: relaxed, PBE.

The structure in extended XYZ format:
```
5
Lattice="-1.822 8.323 6.963 -4.194 8.561 5.496 -4.056 6.785 7.655" Properties=species:S:1:pos:R:3 pbc="T T T"
Mn -6.062 14.246 12.107
Mn -4.010 9.423 8.008
W 0.000 0.000 0.000
W -8.021 18.849 16.019
W -2.051 4.820 4.096
```

Distance to the lowest polymorph of the same formula (kJ/mol of atoms): 7.85
Spin magnetization (μB/cell): 3.47
SG: R-3m
Energy (eV for the cell shown): -55.2



6.
MnW3: relaxed, PBE.

The structure in extended XYZ format:
```
4
Lattice="-1.440 -1.275 2.012 7.681 -5.102 0.339 0.048 1.004 2.595" Properties=species:S:1:pos:R:3 pbc="T T T"
Mn 0.000 0.000 0.000
W 5.558 -3.999 1.444
W 3.145 -2.687 2.473
W 0.731 -1.374 3.502
```

Spin magnetization (μB/cell): 0.00
SG: R-3m
Energy (eV for the cell shown): -46.4



7.
Mn3W2: relaxed, PBE.

The structure in extended XYZ format:
```
10
Lattice="0.000 4.213 5.992 2.616 0.000 5.992 2.616 4.213 0.000" Properties=species:S:1:pos:R:3 pbc="T T T"
Mn 1.863 4.665 7.354
Mn 1.863 3.762 4.631
Mn 3.170 6.771 7.627
Mn 3.170 5.868 10.351
Mn 0.167 4.213 5.992
Mn 1.475 2.107 2.996
W 3.286 2.792 6.577
W 3.286 5.634 5.408
W 4.593 4.899 8.404
W 4.593 7.741 9.573
```

Distance to the lowest polymorph of the same formula (kJ/mol of atoms): 0.00
Spin magnetization (μB/cell): 0.00
SG: Fdd2
Energy (eV for the cell shown): -104.4



8.
MnW5: relaxed, PBE.

The structure in extended XYZ format:
```
6
Lattice="2.712 0.000 0.000 0.000 2.712 0.000 0.000 0.000 12.675" Properties=species:S:1:pos:R:3 pbc="T T T"
Mn 1.356 1.356 6.337
W 0.000 0.000 8.128
W 1.356 1.356 10.388
W 0.000 0.000 0.000
W 1.356 1.356 2.287
W 0.000 0.000 4.547
```

Distance to the lowest polymorph of the same formula (kJ/mol of atoms): 22.27
Spin magnetization (μB/cell): 0.00
SG: P4/mmm
Energy (eV for the cell shown): -72.0



9.
MnW2: relaxed, PBE.

The structure in extended XYZ format:
```
6
Lattice="2.240 -3.880 0.000 2.240 3.880 0.000 0.000 0.000 5.057" Properties=species:S:1:pos:R:3 pbc="T T T"
Mn 2.240 1.293 1.264
Mn 2.240 -1.293 3.793
W 0.000 0.000 0.000
W 0.000 0.000 2.529
W 2.240 1.293 3.793
W 2.240 -1.293 1.264
```

Spin magnetization (μB/cell): 0.00
SG: P6_3/mmc
Energy (eV for the cell shown): -68.1



10.
MnW5: relaxed, PBE.

The structure in extended XYZ format:
```
6
Lattice="1.581 4.946 -0.012 -1.581 4.946 -0.012 0.000 1.963 5.951" Properties=species:S:1:pos:R:3 pbc="T T T"
Mn 0.000 0.000 0.000
W 0.000 6.909 0.960
W 0.000 3.958 1.940
W 0.000 0.981 2.976
W 0.000 7.896 3.988
W 0.000 4.945 4.968
```

Distance to the lowest polymorph of the same formula (kJ/mol of atoms): 1.17
Spin magnetization (μB/cell): 1.60
SG: C2/m
Energy (eV for the cell shown): -73.4



11.
MnW2: relaxed, PBE.

The structure in extended XYZ format:
```
3
Lattice="-1.330 -0.314 2.790 -1.521 -3.867 -2.891 1.844 -2.427 0.606" Properties=species:S:1:pos:R:3 pbc="T T T"
Mn 0.000 0.000 0.000
W -0.252 -4.322 -0.607
W -0.755 -2.285 1.113
```

Spin magnetization (μB/cell): 1.11
SG: I4/mmm
Energy (eV for the cell shown): -34.6



12.
Mn5W4: relaxed, PBE.

The structure in extended XYZ format:
```
18
Lattice="-1.352 -7.282 0.577 0.734 -3.406 6.561 -4.846 0.983 1.052" Properties=species:S:1:pos:R:3 pbc="T T T"
Mn -1.136 -4.383 4.937
Mn -0.980 -0.828 2.332
Mn -2.137 -4.740 0.658
Mn -4.329 -5.322 3.253
Mn -3.132 -1.594 5.281
Mn -4.061 -1.559 0.971
Mn -0.206 -3.563 2.379
Mn -2.836 -6.634 5.285
Mn -0.412 -7.125 4.758
Mn -2.629 -3.071 2.905
W 0.000 0.000 0.000
W -2.423 0.492 0.526
W -1.806 -5.629 3.013
W -0.744 -1.923 4.442
W -1.703 -2.399 0.472
W -3.659 -4.076 5.177
W -3.368 -0.500 3.172
W -4.496 -3.900 1.156
```

Distance to the lowest polymorph of the same formula (kJ/mol of atoms): 18.72
Spin magnetization (μB/cell): 2.21
SG: P6_3/mcm
Energy (eV for the cell shown): -189.8